Compound: BeNiS2F
Source: Alexandria via LeMat-Bulk
Functional: PBE with a Hubbard U
Structure: relaxed

Cell: 3.947 3.947 5.066 Å, 90.00 90.00 90.00°
Sites, in units of the cell vectors:
Be1 0.000 0.000 0.000
Ni1 0.000 0.000 0.500
S1 0.000 0.500 0.000
S2 0.500 0.000 0.000
F1 0.500 0.500 0.500

Symmetry: No. 123
Fermi-level density of states: 1.860 states/eV/cell
Calculated total energy: -3.138 eV/atom